Here is crystalline Na3FeC2O6 at its relaxed geometry from Alexandria via LeMat-Bulk. Energies are from GGA+U.

a = 5.136 Å, b = 5.136 Å, c = 7.195 Å
α = 90.00°, β = 90.00°, γ = 120.00°
Atoms (fractional coordinates):
1 O 0.813 0.187 0.686
2 O 0.813 0.626 0.686
3 Na 0.000 0.000 0.000
4 O 0.374 0.187 0.686
5 Na 0.667 0.333 0.258
6 C 0.667 0.333 0.679
7 Na 0.333 0.667 0.742
8 O 0.187 0.813 0.314
9 O 0.187 0.374 0.314
10 C 0.333 0.667 0.321
11 Fe 0.000 0.000 0.500
12 O 0.626 0.813 0.314

Properties
spin magnetization = 3.7 μB/f.u.
symmetry = P-3m1 (164)
E = -6.2130 eV per atom